Record 1
## NaPmPb2 (GGA-PBE)

Data for an optimized crystal structure of NaPmPb2.

## Properties
**ΔH_f (0 K)**: -0.34 eV/atom
**Total magnetic moment**: 0.0 μB/cell

Unit cell a=3.7482 b=5.6102 c=5.6102 alpha=90.00 beta=90.00 gamma=90.00
Positions (direct):
Pb 0.0000 0.0000 0.5000
Na 0.5000 0.5000 0.5000
Pm 0.5000 0.0000 0.0000
Pb 0.0000 0.5000 0.0000


Record 2
## NaPm2Pb4 (GGA-PBE)

Data for an optimized crystal structure of NaPm2Pb4.

## Properties
**ΔH_f (0 K)**: -0.30 eV/atom
**Total magnetic moment**: 0.0 μB/cell

Unit cell a=6.5481 b=6.4124 c=10.5197 alpha=90.00 beta=90.01 gamma=90.00
Positions (direct):
Pm 0.6885 0.7500 0.5151
Pb 0.1733 0.7500 0.9390
Pm 0.6885 0.7500 0.9850
Pm 0.3115 0.2500 0.0150
Pb 0.8267 0.2500 0.4390
Pb 0.8267 0.2500 0.0610
Pb 0.4851 0.0080 0.7500
Pb 0.5149 0.9920 0.2500
Pb 0.4851 0.4920 0.7500
Pb 0.5149 0.5080 0.2500
Na 0.0499 0.7500 0.2500
Pm 0.3115 0.2500 0.4849
Pb 0.1733 0.7500 0.5610
Na 0.9501 0.2500 0.7500


Record 3
## Na2Pm5Pb5 (GGA-PBE)

Data for an optimized crystal structure of Na2Pm5Pb5.

## Properties
**ΔH_f (0 K)**: -0.36 eV/atom
**Total magnetic moment**: 0.0 μB/cell

Unit cell a=5.2231 b=5.2176 c=15.7392 alpha=99.48 beta=90.00 gamma=120.03
Positions (direct):
Pb 0.5949 0.1897 0.7829
Pm 0.7777 0.5554 0.3349
Pm 0.2223 0.4446 0.6651
Pb 0.4051 0.8103 0.2171
Pm 0.3048 0.6096 0.9132
Pb 0.0000 0.0000 0.0000
Pb 0.8602 0.7204 0.5797
Na 0.9316 0.8632 0.7928
Pm 0.6952 0.3904 0.0868
Pm 0.5000 0.0000 0.5000
Pb 0.1398 0.2796 0.4203
Na 0.0684 0.1368 0.2072